Model P:
Density functional theory data (PBE) for a geometry-optimized BeOF3 structure.

Summary:
DOS(E_F) = 0.074 states/eV/atom

abc: 3.534 3.534 3.534
angles: 90.00 90.00 90.00
Space group Pm-3m (No. 221)
Symmetry-distinct sites (fractional):
Be1 0.000 0.000 0.000 x1
O1 0.500 0.500 0.500 x1
F1 0.000 0.000 0.500 x3



Model Q:
Density functional theory data (PBE) for a geometry-optimized BeOF3 structure.

Summary:
DOS(E_F) = 0.254 states/eV/atom

abc: 3.790 3.790 3.790
angles: 90.00 90.00 90.00
Space group Pm-3m (No. 221)
Symmetry-distinct sites (fractional):
Be1 0.000 0.000 0.000 x1
O1 0.500 0.500 0.500 x1
F1 0.000 0.500 0.500 x3



Model R:
Density functional theory data (PBE) for a geometry-optimized BeOF3 structure.

abc: 6.143 5.762 8.675
angles: 90.00 119.56 90.00
Space group P2_1/c (No. 14)
Symmetry-distinct sites (fractional):
Be1 0.135 0.150 0.047 x4
O1 0.405 0.514 0.936 x4
F1 0.102 0.148 0.420 x4
F2 0.125 0.600 0.460 x4
F3 0.371 0.188 0.227 x4



Among the structures above, stability is smallest for model Q.